one) Material: In2WBr2
Method: DFT, PBE
State: relaxed

abc: 3.7512 3.7512 19.8764
angles: 90.00 90.00 90.00
Space group I4/mmm (No. 139)
Asymmetric unit:
In 0.0000 0.0000 0.0719
W 0.0000 0.0000 0.5000
Br 0.0000 0.5000 0.2500

Computed properties:
- Crystal system: tetragonal
- Size of the total moment: 0.8 μB/cell

two) Material: In2WBr2
Method: DFT, PBE
State: relaxed

abc: 7.7882 7.7882 4.8906
angles: 90.00 90.00 90.00
Space group P4/mbm (No. 127)
Asymmetric unit:
In 0.1755 0.3245 0.0000
W 0.0000 0.0000 0.0000
Br 0.1636 0.6636 0.5000

Computed properties:
- Crystal system: tetragonal
- Size of the total moment: 7.9 μB/cell

Which structure is most stable? two), by 206 meV per atom over the runner-up.

one) Material: In3WBr
Method: DFT, PBE
State: relaxed

abc: 5.7033 5.7033 5.7033
angles: 90.00 90.00 90.00
Space group Pm-3m (No. 221)
Asymmetric unit:
In 0.0000 0.0000 0.5000
W 0.5000 0.5000 0.5000
Br 0.0000 0.0000 0.0000

Computed properties:
- Crystal system: cubic
- Size of the total moment: 4.3 μB/cell

two) Material: In3WBr
Method: DFT, PBE
State: relaxed

abc: 5.4643 5.4643 5.4643
angles: 90.00 90.00 90.00
Space group Pm-3m (No. 221)
Asymmetric unit:
In 0.0000 0.0000 0.5000
W 0.0000 0.0000 0.0000
Br 0.5000 0.5000 0.5000

Computed properties:
- Crystal system: cubic
- Size of the total moment: 3.0 μB/cell

Which structure is most stable? two), by 887 meV per atom over the runner-up.

one) Material: YIn2Br
Method: DFT, PBE
State: relaxed

abc: 9.8687 9.8687 5.5409
angles: 90.00 90.00 90.00
Space group I-42d (No. 122)
Asymmetric unit:
Y 0.0000 0.0000 0.0000
In 0.1999 0.7500 0.1250
Br 0.0000 0.0000 0.5000

Computed properties:
- Crystal system: tetragonal
- Size of the total moment: 0.0 μB/cell

two) Material: YIn2Br
Method: DFT, PBE
State: relaxed

abc: 5.7028 5.7028 6.5675
angles: 90.00 90.00 90.00
Space group I-4m2 (No. 119)
Asymmetric unit:
Y 0.0000 0.0000 0.0000
In 0.0000 0.0000 0.5000
In 0.0000 0.5000 0.7500
Br 0.0000 0.5000 0.2500

Computed properties:
- Crystal system: tetragonal
- Size of the total moment: 0.0 μB/cell

three) Material: YIn2Br
Method: DFT, PBE
State: relaxed

abc: 14.5761 3.4762 4.7938
angles: 90.00 109.13 90.00
Space group C2/m (No. 12)
Asymmetric unit:
Y 0.0000 0.0000 0.0000
In 0.2076 0.5000 0.2077
Br 0.0000 0.5000 0.5000

Computed properties:
- Crystal system: monoclinic
- Size of the total moment: 0.0 μB/cell

four) Material: YIn2Br
Method: DFT, PBE
State: relaxed

abc: 7.7448 7.7448 7.7448
angles: 90.00 90.00 90.00
Space group Fm-3m (No. 225)
Asymmetric unit:
Y 0.0000 0.0000 0.0000
In 0.2500 0.2500 0.2500
Br 0.0000 0.0000 0.5000

Computed properties:
- Crystal system: cubic
- Size of the total moment: 0.0 μB/cell

Which structure is most stable? three), by 98 meV per atom over the runner-up.

one) Material: YInBr4
Method: DFT, PBE
State: relaxed

abc: 4.2625 7.1930 8.3582
angles: 102.52 90.00 107.16
Space group P-1 (No. 2)
Asymmetric unit:
Y 0.0000 0.0000 0.0000
In 0.5000 0.0000 0.5000
Br 0.1182 0.2371 0.3148
Br 0.3839 0.7668 0.0916

Computed properties:
- Crystal system: triclinic
- Size of the total moment: 0.0 μB/cell

two) Material: YInBr4
Method: DFT, PBE
State: relaxed

abc: 8.9696 8.9696 8.9696
angles: 90.00 90.00 90.00
Space group F-43m (No. 216)
Asymmetric unit:
Y 0.0000 0.0000 0.0000
In 0.2500 0.2500 0.2500
Br 0.1258 0.1258 0.6258

Computed properties:
- Crystal system: cubic
- Size of the total moment: 0.0 μB/cell

Which structure is most stable? one), by 1421 meV per atom over the runner-up.

one) Material: ZnInBr2
Method: DFT, PBE
State: relaxed

abc: 6.5027 6.5106 6.7418
angles: 73.37 73.38 76.75
Space group P1 (No. 1)
Asymmetric unit:
Zn 0.0000 0.0000 0.0000
Zn 0.2390 0.2363 0.0012
In 0.3144 0.7547 0.3436
In 0.7513 0.3216 0.3366
Br 0.1525 0.6571 0.8423
Br 0.2360 0.2404 0.3914
Br 0.6560 0.1766 0.8403
Br 0.8053 0.8124 0.3813

Computed properties:
- Crystal system: triclinic
- Size of the total moment: 0.0 μB/cell

two) Material: ZnInBr2
Method: DFT, PBE
State: relaxed

abc: 7.5992 7.5992 7.5992
angles: 90.00 90.00 90.00
Space group Fm-3m (No. 225)
Asymmetric unit:
Zn 0.0000 0.0000 0.0000
In 0.0000 0.0000 0.5000
Br 0.2500 0.2500 0.2500

Computed properties:
- Crystal system: cubic
- Size of the total moment: 0.0 μB/cell

Which structure is most stable? one), by 349 meV per atom over the runner-up.

one) Material: ZnInBr2
Method: DFT, PBE
State: relaxed

abc: 3.7672 6.9209 9.3602
angles: 90.00 90.00 90.00
Space group Imm2 (No. 44)
Asymmetric unit:
Zn 0.0000 0.0000 0.0000
In 0.0000 0.5000 0.2725
Br 0.0000 0.0000 0.5375
Br 0.0000 0.5000 0.6895

Computed properties:
- Crystal system: orthorhombic
- Size of the total moment: 0.0 μB/cell

two) Material: ZnInBr2
Method: DFT, PBE
State: relaxed

abc: 6.6115 6.7521 6.8208
angles: 68.80 89.94 80.12
Space group P1 (No. 1)
Asymmetric unit:
Zn 0.0000 0.0000 0.0000
Zn 0.3328 0.7845 0.0294
In 0.0028 0.1642 0.3424
In 0.3902 0.3076 0.7606
Br 0.3295 0.8080 0.6334
Br 0.3757 0.3778 0.2276
Br 0.7032 0.7969 0.1134
Br 0.8640 0.3407 0.6935

Computed properties:
- Crystal system: triclinic
- Size of the total moment: 0.0 μB/cell

Which structure is most stable? two), by 182 meV per atom over the runner-up.

one) Material: Zn2In2Br
Method: DFT, PBE
State: relaxed

abc: 8.4460 8.4460 3.4465
angles: 90.00 90.00 90.00
Space group P4/mbm (No. 127)
Asymmetric unit:
Zn 0.1075 0.3925 0.0000
In 0.1958 0.6958 0.5000
Br 0.0000 0.0000 0.5000

Computed properties:
- Crystal system: tetragonal
- Size of the total moment: 0.0 μB/cell

two) Material: Zn2In2Br
Method: DFT, PBE
State: relaxed

abc: 8.2124 8.2124 3.5594
angles: 90.00 90.00 90.00
Space group P4/mbm (No. 127)
Asymmetric unit:
Zn 0.1101 0.3899 0.0000
In 0.1936 0.6936 0.5000
Br 0.0000 0.0000 0.0000

Computed properties:
- Crystal system: tetragonal
- Size of the total moment: 0.0 μB/cell

Which structure is most stable? one), by 12 meV per atom over the runner-up.

one) Material: ZnInBr
Method: DFT, PBE
State: relaxed

abc: 4.4261 4.4261 5.1233
angles: 90.00 90.00 120.00
Space group P3m1 (No. 156)
Asymmetric unit:
Zn 0.0000 0.0000 0.0000
In 0.6667 0.3333 0.7343
Br 0.3333 0.6667 0.3424

Computed properties:
- Crystal system: trigonal
- Size of the total moment: 0.0 μB/cell

two) Material: ZnInBr
Method: DFT, PBE
State: relaxed

abc: 4.7661 11.4177 5.9906
angles: 90.00 91.72 90.00
Space group Cc (No. 9)
Asymmetric unit:
Zn 0.0000 0.0395 0.0000
In 0.4991 0.0317 0.2768
Br 0.4249 0.2397 0.5345

Computed properties:
- Crystal system: monoclinic
- Size of the total moment: 0.0 μB/cell

three) Material: ZnInBr
Method: DFT, PBE
State: relaxed

abc: 7.2383 7.2383 7.2383
angles: 90.00 90.00 90.00
Space group F-43m (No. 216)
Asymmetric unit:
Zn 0.0000 0.0000 0.0000
In 0.2500 0.2500 0.2500
Br 0.2500 0.2500 0.7500

Computed properties:
- Crystal system: cubic
- Size of the total moment: 0.0 μB/cell

four) Material: ZnInBr
Method: DFT, PBE
State: relaxed

abc: 3.8771 3.9332 6.4225
angles: 72.36 72.65 89.84
Space group P1 (No. 1)
Asymmetric unit:
Zn 0.0000 0.0000 0.0000
In 0.4244 0.4332 0.1356
Br 0.9780 0.2005 0.5923

Computed properties:
- Crystal system: triclinic
- Size of the total moment: 0.0 μB/cell

Which structure is most stable? two), by 11 meV per atom over the runner-up.